(1)
Tb2HgBr | the Alexandria database | PBE-GGA | relaxed; magnetic moment = 0.0 μB/f.u.; ΔE to the lowest computed polymorph = 0 meV per atom; final energy = -3.53 eV per atom
1.0
-0.3385 -0.9159 3.5458
1.8198 -2.9059 1.3304
7.6348 4.1517 3.7085
Hg Br Tb
1 1 2
Direct
0.6667 0.6667 0.9998
0.4997 0.4997 0.5008
0.0844 0.0844 0.7469
0.2491 0.2491 0.2526

---

(2)
TcAg2Ru | the Alexandria database | PBE-GGA | relaxed; magnetic moment = 0.0 μB/f.u.; ΔH_f (0 K) = 0.48 eV per atom; ΔE to the lowest computed polymorph = 250 meV per atom; final energy = -5.86 eV per atom
1.0
-3.3356 -1.2163 -3.1192
-1.9560 -3.4787 -2.5313
-3.6574 -1.3195 3.5042
Ag Ru Tc
2 1 1
Direct
0.0000 0.0000 0.0131
0.2486 0.2486 0.2359
0.4995 0.4995 0.5388
0.7519 0.7519 0.7121

---

(3)
Li6MgSn2 | the Alexandria database | PBE-GGA | relaxed; magnetic moment = 0.0 μB/f.u.; ΔH_f (0 K) = -0.34 eV per atom; ΔE to the lowest computed polymorph = 0 meV per atom; final energy = -2.68 eV per atom
1.0
-2.4494 -0.1195 -3.9285
-6.3158 -3.5552 4.0460
-3.1617 7.5977 1.7406
Li Sn Mg
12 4 2
Direct
0.0000 0.9847 0.1719
0.5000 0.8397 0.0710
0.0000 0.0153 0.8281
0.5000 0.8145 0.3880
0.0000 0.6855 0.8880
0.0000 0.3145 0.1120
0.0000 0.3397 0.4290
0.5000 0.5153 0.6719
0.0000 0.6603 0.5710
0.5000 0.4847 0.3281
0.5000 0.1603 0.9290
0.5000 0.1855 0.6120
0.5000 0.1530 0.2730
0.5000 0.8470 0.7270
0.0000 0.3470 0.7730
0.0000 0.6530 0.2270
0.5000 0.5000 0.0000
0.0000 0.0000 0.5000

---

(4)
CdIn2Ir | the Alexandria database | PBE-GGA | relaxed; magnetic moment = 0.0 μB/f.u.; ΔH_f (0 K) = 0.27 eV per atom; final energy = -3.54 eV per atom
1.0
-2.2324 -4.0495 1.4662
2.6011 -3.9536 1.0654
0.4110 -1.4642 4.6064
Cd In Ir
1 2 1
Direct
0.5000 0.5000 0.5000
0.0000 0.0000 0.0000
0.7500 0.7500 0.7500
0.2500 0.2500 0.2500